[1]
DFT (GGA-PBE) results for a geometry-optimized PrHo4Tm7 structure.

a = 12.0157 Å, b = 5.8024 Å, c = 12.4990 Å
α = 90.00°, β = 117.95°, γ = 90.00°
Closest atoms and distances in Å follow each position.
Space group C2/m (No. 12)
One atom of each set of equivalent atoms:
1 Pr 0.0000 0.0000 0.0000 [2 per cell]  4 Tm 2.90-3.11
2 Ho 0.1308 0.5000 0.7743 [4 per cell]  7 Tm 3.33-3.54, 2 Ho 3.64
3 Ho 0.2495 0.0000 0.6830 [4 per cell]  4 Tm 3.23-3.52
4 Tm 0.0000 0.5000 0.0000 [2 per cell]  2 Pr 2.90, 2 Tm 3.13
5 Tm 0.0587 0.0000 0.3314 [4 per cell]  4 Tm 3.26-3.47, 3 Ho 3.54-3.62
6 Tm 0.1356 0.5000 0.5042 [4 per cell]  4 Tm 3.21-3.47, 5 Ho 3.23-3.52
7 Tm 0.2113 0.0000 0.9226 [4 per cell]  1 Pr 3.11, 4 Tm 3.13-3.37, 4 Ho 3.24-3.35

- ΔH_f (0 K) (meV per atom) = 285

***

[2]
DFT (GGA-PBE) results for a geometry-optimized MnIn2Ir structure.

a = 4.2008 Å, b = 4.2008 Å, c = 3.9470 Å
α = 90.00°, β = 90.00°, γ = 90.00°
Closest atoms and distances in Å follow each position.
Space group P4/mmm (No. 123)
One atom of each set of equivalent atoms:
1 Mn 0.0000 0.0000 0.0000 [1 per cell]  8 In 2.88, 4 Ir 2.97
2 In 0.0000 0.5000 0.5000 [2 per cell]  4 Ir 2.88, 4 Mn 2.88, 4 In 2.97
3 Ir 0.5000 0.5000 0.0000 [1 per cell]  8 In 2.88, 4 Mn 2.97

- ΔH_f (0 K) (meV per atom) = 79

***

[3]
DFT (GGA-PBE) results for a geometry-optimized Rb4Ce3S8 structure.

a = 8.5028 Å, b = 8.5028 Å, c = 24.2626 Å
α = 90.00°, β = 90.00°, γ = 120.00°
Closest atoms and distances in Å follow each position.
Space group R-3m (No. 166, hexagonal axes)
One atom of each set of equivalent atoms:
1 Rb 0.0000 0.0000 0.0000 [3 per cell]  6 S 3.14, 2 Rb 3.50
2 Rb 0.0000 0.0000 0.1443 [6 per cell]  4 S 3.21-3.43, 1 Rb 3.50
3 Rb 0.0000 0.0000 0.5000 [3 per cell]  6 S 3.34
4 Ce 0.0000 0.5000 0.0000 [9 per cell]  6 S 2.75-2.82
5 S 0.0000 0.0000 0.2765 [6 per cell]  3 Ce 2.82
6 S 0.0424 0.5212 0.2725 [18 per cell]  2 Ce 2.75

- uncorrected formation energy (eV/atom) = -1.55

***

Magnetic moment in μB per cell, matching the order above: 0.0 3.1 0.0